Record 1
ErHgBiRh: optimized geometry, PBE.

```
ErHgBiRh
1.0
5.027 0.000 0.000
2.514 4.354 0.000
2.514 1.451 4.105
Er Hg Bi Rh
1 1 1 1
Cartesian
5.027 2.902 2.052
2.514 1.451 1.026
0.000 0.000 0.000
7.541 4.354 3.078
```

## Properties
space group: F-43m (216)
calculated volume: 89.83 Å³ per cell

Record 2
La3BeGe: optimized geometry, PBE.

```
La3BeGe
1.0
-1.534 -3.117 4.050
3.846 -3.488 -1.228
3.365 2.566 3.250
La Ge Be
3 1 1
Cartesian
1.682 1.283 1.625
-0.767 -1.558 2.025
1.923 -1.744 -0.614
2.838 -2.019 3.036
0.000 0.000 0.000
```

## Properties
space group: Pm-3m (221)
calculated volume: 151.89 Å³ per cell

Record 3
Ti4Zn3Pt: optimized geometry, PBE.

```
Ti4Zn3Pt
1.0
4.784 0.000 0.000
0.000 5.749 0.000
0.000 0.000 9.075
Ti Zn Pt
8 6 2
Cartesian
4.084 4.314 2.269
2.392 1.433 4.537
0.701 1.436 6.806
4.084 1.436 2.269
0.701 4.314 6.806
2.392 1.433 0.000
2.392 4.316 4.537
2.392 4.316 0.000
1.682 0.000 2.269
0.000 0.000 4.537
0.000 0.000 0.000
3.102 0.000 6.806
1.642 2.875 2.269
3.142 2.875 6.806
0.000 2.875 0.000
0.000 2.875 4.537
```

## Properties
space group: Pmma (51)
calculated volume: 249.61 Å³ per cell

Record 4
Na2HfIr: optimized geometry, PBE.

```
Na2HfIr
1.0
-1.616 -1.739 2.987
2.831 -2.557 0.043
6.621 4.628 8.710
Ir Na Hf
2 4 2
Cartesian
0.000 0.000 0.000
2.807 0.371 6.606
0.966 -0.286 4.112
3.256 -0.622 2.515
5.362 1.913 7.668
6.088 -0.341 9.185
5.030 -0.039 5.134
0.608 -2.148 1.515
```

## Properties
space group: I-42d (122)
ΔE to the lowest computed polymorph: 0 meV per atom
calculated volume: 168.41 Å³ per cell

Number 1: calculated formation energy -0.318 eV per atom. Number 2: calculated formation energy 0.091 eV per atom. Number 3: calculated formation energy -0.358 eV per atom. Number 4: calculated formation energy 0.169 eV per atom.